AcTiHN2: optimized geometry, PBE.

Values from the calculation:
* crystal system: tetragonal
* VASP energy: -7.528 eV/atom
* SG: P4/mmm, No. 123

a b c (Å): 3.7799 4.1052 4.1052
angles (deg): 90.00 90.00 90.00
Last column: nearest neighbours and their distance in Å.
Fractional positions:
Ti  0.0000  0.0000  0.0000  2 H 1.89, 4 N 2.05
N  0.0000  0.5000  0.0000  2 Ti 2.05
Ac  0.5000  0.5000  0.5000  8 N 2.79, 4 H 2.90
H  0.5000  0.0000  0.0000  2 Ti 1.89
N  0.0000  0.0000  0.5000  2 Ti 2.05

Ac6Tl2HN: optimized geometry, PBE.

Values from the calculation:
* crystal system: orthorhombic
* VASP energy: -4.535 eV/atom
* SG: Pmmn, No. 59

a b c (Å): 7.5969 7.5975 10.7554
angles (deg): 90.00 90.00 90.00
Last column: nearest neighbours and their distance in Å.
Fractional positions:
Ac  0.2561  0.0057  0.5000  1 N 2.62, 1 H 2.75
Ac  0.7561  0.9943  0.0000  1 N 2.62, 1 H 2.75
N  0.0000  0.7504  0.0000  6 Ac 2.62
Tl  0.5000  0.7500  0.2499  12 Ac 3.80
Ac  0.7559  0.5064  0.0000  1 N 2.62, 1 H 2.75
Ac  0.7439  0.0057  0.5000  1 N 2.62, 1 H 2.75
Ac  0.7441  0.4936  0.5000  1 N 2.62, 1 H 2.75
Ac  0.5000  0.2499  0.7437  1 N 2.62, 1 H 2.76
Ac  0.2559  0.4936  0.5000  1 N 2.62, 1 H 2.75
Ac  0.2439  0.9943  0.0000  1 N 2.62, 1 H 2.75
H  0.5000  0.2505  0.0000  6 Ac 2.75-2.76
Ac  0.0000  0.7501  0.7563  1 N 2.62, 1 H 2.76
N  0.5000  0.2496  0.5000  6 Ac 2.62
Ac  0.5000  0.2499  0.2563  1 N 2.62, 1 H 2.76
H  0.0000  0.7495  0.5000  6 Ac 2.75-2.76
Ac  0.0000  0.7501  0.2437  1 N 2.62, 1 H 2.76
Tl  0.0000  0.2500  0.7499  12 Ac 3.80
Tl  0.0000  0.2500  0.2501  12 Ac 3.80
Ac  0.2441  0.5064  0.0000  1 N 2.62, 1 H 2.75
Tl  0.5000  0.7500  0.7501  12 Ac 3.80

- What is the formula in the first record?
  AcTiHN2

- Look up the VASP energy of the second one.
  -4.535 eV/atom

- Among the records above, which one has the highest VASP energy?
  Ac6Tl2HN